This record from Alexandria describes an optimized crystal structure of Cd3Ni. The functional is PBE.

Structure (POSCAR):
```
Cd3Ni
1.0
3.127 0.000 0.000
0.000 3.127 0.000
0.000 0.000 7.657
Ni Cd
1 3
direct
0.500 0.500 0.250
0.000 0.000 0.458
0.500 0.500 0.750
0.000 0.000 0.042
```

Formation enthalpy at 0 K (eV/f.u.): 0.2
Crystal system: tetragonal
Electronic total energy (eV/atom): -2.090